1.
Material: CaAc2TmSe5
Method: DFT, PBE-GGA
State: optimized geometry Values from VASP.

Geometry as Quantum ESPRESSO input:
```
&SYSTEM
  ibrav = 0, nat = 9, ntyp = 4
/
ATOMIC_SPECIES
Se 78.96 Se.upf
Ac 227.00 Ac.upf
Tm 168.93 Tm.upf
Ca 40.08 Ca.upf
CELL_PARAMETERS angstrom
5.120 0.000 0.000
0.000 5.120 0.000
0.000 0.000 10.949
ATOMIC_POSITIONS crystal
Se 0.500 0.500 0.000
Se 0.000 0.000 0.247
Se 0.000 0.000 0.753
Se 0.000 0.500 0.500
Se 0.500 0.000 0.500
Ac 0.500 0.500 0.290
Ac 0.500 0.500 0.710
Tm 0.000 0.000 0.500
Ca 0.000 0.000 0.000
```

Calculated values
The calculated total energy is -5.2087 eV/atom. For the formation energy without anion corrections, the calculation gives -14.8 eV per formula unit. The value obtained for the total magnetization is 0.0 μB/cell. The calculated volume comes out at 287.0 Å³/cell.

---

2.
Material: Ca2AcUSe6
Method: DFT, PBE-GGA
State: optimized geometry Values from VASP.

Geometry as Quantum ESPRESSO input:
```
&SYSTEM
  ibrav = 0, nat = 10, ntyp = 4
/
ATOMIC_SPECIES
U 238.03 U.upf
Se 78.96 Se.upf
Ca 40.08 Ca.upf
Ac 227.00 Ac.upf
CELL_PARAMETERS angstrom
-5.817 1.927 -4.204
-6.865 -0.205 2.837
-3.590 6.851 1.539
ATOMIC_POSITIONS crystal
U 0.324 0.324 0.028
Se 0.584 0.218 0.249
Se 0.135 0.397 0.760
Se 0.218 0.949 0.249
Se 0.708 0.135 0.760
Se 0.397 0.708 0.760
Se 0.949 0.584 0.249
Ca 0.522 0.523 0.433
Ca 0.012 0.012 0.964
Ac 0.812 0.812 0.564
```

Calculated values
The calculated total energy is -5.6491 eV/atom. For the formation energy without anion corrections, the calculation gives -16.2 eV per formula unit. The value obtained for the total magnetization is 1.0 μB/cell. The calculated volume comes out at 316.5 Å³/cell.

---

3.
Material: CaAc2YSe4
Method: DFT, PBE-GGA
State: optimized geometry Values from VASP.

Geometry as Quantum ESPRESSO input:
```
&SYSTEM
  ibrav = 0, nat = 8, ntyp = 4
/
ATOMIC_SPECIES
Ca 40.08 Ca.upf
Ac 227.00 Ac.upf
Y 88.91 Y.upf
Se 78.96 Se.upf
CELL_PARAMETERS angstrom
-2.692 1.939 2.654
-4.803 -5.549 -0.817
4.599 -1.597 5.831
ATOMIC_POSITIONS crystal
Ca 0.000 0.000 0.000
Ac 0.000 0.500 0.500
Ac 0.500 0.000 0.500
Y 0.500 0.500 0.000
Se 0.000 0.260 0.777
Se 0.000 0.740 0.223
Se 0.500 0.244 0.225
Se 0.500 0.756 0.775
```

Calculated values
The calculated total energy is -5.6819 eV/atom. For the formation energy without anion corrections, the calculation gives -14.8 eV per formula unit. The value obtained for the total magnetization is 0.0 μB/cell. The calculated volume comes out at 225.7 Å³/cell.

---

4.
Material: Ca2AcYSe4
Method: DFT, PBE-GGA
State: optimized geometry Values from VASP.

Geometry as Quantum ESPRESSO input:
```
&SYSTEM
  ibrav = 0, nat = 8, ntyp = 4
/
ATOMIC_SPECIES
Y 88.91 Y.upf
Se 78.96 Se.upf
Ca 40.08 Ca.upf
Ac 227.00 Ac.upf
CELL_PARAMETERS angstrom
-3.430 -2.347 -0.758
1.455 -4.047 5.942
-4.330 5.699 1.943
ATOMIC_POSITIONS crystal
Y 0.000 0.000 0.000
Se 0.000 0.232 0.737
Se 0.500 0.238 0.253
Se 0.000 0.768 0.263
Se 0.500 0.762 0.747
Ca 0.000 0.500 0.500
Ca 0.500 0.000 0.500
Ac 0.500 0.500 0.000
```

Calculated values
The calculated total energy is -5.4369 eV/atom. For the formation energy without anion corrections, the calculation gives -15.0 eV per formula unit. The value obtained for the total magnetization is 0.0 μB/cell. The calculated volume comes out at 217.1 Å³/cell.

---

5.
Material: CaAcSi3
Method: DFT, PBE-GGA
State: optimized geometry Values from VASP.

Geometry as Quantum ESPRESSO input:
```
&SYSTEM
  ibrav = 0, nat = 10, ntyp = 3
/
ATOMIC_SPECIES
Si 28.09 Si.upf
Ca 40.08 Ca.upf
Ac 227.00 Ac.upf
CELL_PARAMETERS angstrom
4.035 0.000 0.000
0.000 4.642 0.000
0.000 -2.321 12.603
ATOMIC_POSITIONS crystal
Si 0.750 0.324 0.649
Si 0.250 0.378 0.757
Si 0.750 0.622 0.243
Si 0.250 0.476 0.951
Si 0.250 0.676 0.351
Si 0.750 0.524 0.049
Ca 0.750 0.203 0.406
Ca 0.250 0.797 0.594
Ac 0.750 0.928 0.856
Ac 0.250 0.072 0.144
```

Calculated values
The calculated total energy is -5.0154 eV/atom. For the formation energy without anion corrections, the calculation gives -2.7 eV per formula unit. The value obtained for the total magnetization is 0.0 μB/cell. The calculated volume comes out at 236.0 Å³/cell.

---

6.
Material: Ca2AcSi6
Method: DFT, PBE-GGA
State: optimized geometry Values from VASP.

Geometry as Quantum ESPRESSO input:
```
&SYSTEM
  ibrav = 0, nat = 9, ntyp = 3
/
ATOMIC_SPECIES
Si 28.09 Si.upf
Ac 227.00 Ac.upf
Ca 40.08 Ca.upf
CELL_PARAMETERS angstrom
-0.724 3.406 2.787
-0.351 -4.558 5.480
6.266 2.860 -1.867
ATOMIC_POSITIONS crystal
Si 0.500 0.664 0.664
Si 0.500 0.000 0.664
Si 0.500 0.000 0.336
Si 0.500 0.336 0.336
Si 0.500 0.664 0.000
Si 0.500 0.336 0.000
Ac 0.000 0.000 0.000
Ca 0.000 0.667 0.333
Ca 0.000 0.333 0.667
```

Calculated values
The calculated total energy is -4.8772 eV/atom. For the formation energy without anion corrections, the calculation gives -3.2 eV per formula unit. The value obtained for the total magnetization is 0.0 μB/cell. The calculated volume comes out at 196.7 Å³/cell.

---

7.
Material: CaAcSi4
Method: DFT, PBE-GGA
State: optimized geometry Values from VASP.

Geometry as Quantum ESPRESSO input:
```
&SYSTEM
  ibrav = 0, nat = 6, ntyp = 3
/
ATOMIC_SPECIES
Si 28.09 Si.upf
Ca 40.08 Ca.upf
Ac 227.00 Ac.upf
CELL_PARAMETERS angstrom
5.618 0.000 0.000
2.809 4.865 0.000
2.809 1.622 4.587
ATOMIC_POSITIONS crystal
Si 0.614 0.157 0.614
Si 0.614 0.614 0.157
Si 0.157 0.614 0.614
Si 0.614 0.614 0.614
Ca 0.250 0.250 0.250
Ac 0.000 0.000 0.000
```

Calculated values
The calculated total energy is -4.8397 eV/atom. For the formation energy without anion corrections, the calculation gives -1.2 eV per formula unit. The value obtained for the total magnetization is 0.0 μB/cell. The calculated volume comes out at 125.4 Å³/cell.

---

8.
Material: CaAc2Si2
Method: DFT, PBE-GGA
State: optimized geometry Values from VASP.

Geometry as Quantum ESPRESSO input:
```
&SYSTEM
  ibrav = 0, nat = 10, ntyp = 3
/
ATOMIC_SPECIES
Si 28.09 Si.upf
Ca 40.08 Ca.upf
Ac 227.00 Ac.upf
CELL_PARAMETERS angstrom
4.717 0.000 0.000
0.000 7.978 0.000
0.000 0.000 7.978
ATOMIC_POSITIONS crystal
Si 0.000 0.609 0.109
Si 0.000 0.391 0.891
Si 0.000 0.109 0.391
Si 0.000 0.891 0.609
Ca 0.000 0.000 0.000
Ca 0.000 0.500 0.500
Ac 0.500 0.321 0.179
Ac 0.500 0.821 0.321
Ac 0.500 0.679 0.821
Ac 0.500 0.179 0.679
```

Calculated values
The calculated total energy is -4.8007 eV/atom. For the formation energy without anion corrections, the calculation gives -2.9 eV per formula unit. The value obtained for the total magnetization is 0.0 μB/cell. The calculated volume comes out at 300.2 Å³/cell.

---

9.
Material: CaAc2Si6
Method: DFT, PBE-GGA
State: optimized geometry Values from VASP.

Geometry as Quantum ESPRESSO input:
```
&SYSTEM
  ibrav = 0, nat = 9, ntyp = 3
/
ATOMIC_SPECIES
Si 28.09 Si.upf
Ca 40.08 Ca.upf
Ac 227.00 Ac.upf
CELL_PARAMETERS angstrom
4.496 0.000 0.000
0.000 6.303 -3.639
0.000 0.000 7.278
ATOMIC_POSITIONS crystal
Si 0.500 0.000 0.669
Si 0.500 0.331 0.000
Si 0.500 0.000 0.331
Si 0.500 0.331 0.331
Si 0.500 0.669 0.669
Si 0.500 0.669 0.000
Ca 0.000 0.000 0.000
Ac 0.000 0.333 0.667
Ac 0.000 0.667 0.333
```

Calculated values
The calculated total energy is -5.1955 eV/atom. For the formation energy without anion corrections, the calculation gives -4.0 eV per formula unit. The value obtained for the total magnetization is 0.0 μB/cell. The calculated volume comes out at 206.2 Å³/cell.

---

10.
Material: CaAc12Si6
Method: DFT, PBE-GGA
State: optimized geometry Values from VASP.

Geometry as Quantum ESPRESSO input:
```
&SYSTEM
  ibrav = 0, nat = 19, ntyp = 3
/
ATOMIC_SPECIES
Ac 227.00 Ac.upf
Si 28.09 Si.upf
Ca 40.08 Ca.upf
CELL_PARAMETERS angstrom
-5.616 -3.538 -6.558
3.939 -7.526 3.861
-5.885 3.054 6.565
ATOMIC_POSITIONS crystal
Ac 0.874 0.126 0.500
Ac 0.447 0.178 0.447
Ac 0.178 0.447 0.447
Ac 0.874 0.500 0.126
Ac 0.447 0.447 0.178
Ac 0.553 0.553 0.822
Ac 0.126 0.874 0.500
Ac 0.500 0.126 0.874
Ac 0.500 0.874 0.126
Ac 0.822 0.553 0.553
Ac 0.126 0.500 0.874
Ac 0.553 0.822 0.553
Si 0.249 0.249 0.686
Si 0.751 0.314 0.751
Si 0.314 0.751 0.751
Si 0.751 0.751 0.314
Si 0.686 0.249 0.249
Si 0.249 0.686 0.249
Ca 0.000 0.000 0.000
```

Calculated values
The calculated total energy is -4.6360 eV/atom. For the formation energy without anion corrections, the calculation gives -4.2 eV per formula unit. The value obtained for the total magnetization is 0.0 μB/cell. The calculated volume comes out at 727.1 Å³/cell.